Computed, not measured: a geometry-optimized SiGeW3 structure at the PBE level of DFT.

Unit cell a=4.5042 b=4.5042 c=4.5042 alpha=90.00 beta=90.00 gamma=90.00
Positions (direct):
Ge1 0.5000 0.5000 0.5000
Si1 0.0000 0.0000 0.0000
W1 0.0000 0.5000 0.0000
W2 0.0000 0.0000 0.5000
W3 0.5000 0.0000 0.0000

Values from the calculation:
- Raw total energy: -8.35 eV/atom
- Volume: 18.28 A^3/atom
- E above lowest polymorph: 0.0 meV/atom
- Formation energy (no corrections): 138.1 kJ per mole of atoms
- Space group: Pm-3m
- Total magnetization: 0.0 μB per cell


Computed, not measured: a geometry-optimized SiGeW structure at the PBE level of DFT.

Unit cell a=2.6804 b=4.5146 c=4.5146 alpha=120.00 beta=90.00 gamma=90.00
Positions (direct):
Ge1 0.1668 0.6667 0.3333
Si1 0.6673 0.3333 0.6667
W1 0.1658 0.0000 0.0000

Values from the calculation:
- Raw total energy: -7.25 eV/atom
- Volume: 15.77 A^3/atom
- E above lowest polymorph: 26.4 meV/atom
- Formation energy (no corrections): 40.5 kJ per mole of atoms
- Space group: P-6m2
- Total magnetization: 0.0 μB per cell


Computed, not measured: a geometry-optimized YSi2Ge structure at the PBE level of DFT.

Unit cell a=7.1604 b=7.1604 c=6.0230 alpha=53.53 beta=53.53 gamma=90.00
Positions (direct):
Y1 0.0000 0.0000 0.0000
Y2 0.7500 0.2500 0.5000
Ge1 0.5000 0.5000 0.0000
Ge2 0.2500 0.7500 0.5000
Si1 0.5723 0.1250 0.2500
Si2 0.1777 0.6250 0.2500
Si3 0.3750 0.4277 0.7500
Si4 0.8750 0.8223 0.7500

Values from the calculation:
- Raw total energy: -5.59 eV/atom
- Volume: 20.91 A^3/atom
- Formation energy (no corrections): -10.8 kJ per mole of atoms
- Space group: I-42d
- Total magnetization: 0.0 μB per cell


Computed, not measured: a geometry-optimized Y3SiGe2 structure at the PBE level of DFT.

Unit cell a=4.1102 b=11.6072 c=11.5532 alpha=90.00 beta=90.00 gamma=90.00
Positions (direct):
Y1 0.2500 0.3776 0.0593
Y2 0.7500 0.6224 0.9407
Y3 0.7500 0.8776 0.4407
Y4 0.2500 0.1224 0.5593
Y5 0.2500 0.7064 0.2114
Y6 0.7500 0.2936 0.7886
Y7 0.7500 0.2064 0.2886
Y8 0.2500 0.7936 0.7114
Y9 0.2500 0.4444 0.3829
Y10 0.7500 0.5556 0.6171
Y11 0.7500 0.9444 0.1171
Y12 0.2500 0.0556 0.8829
Si1 0.2500 0.1279 0.1306
Si2 0.7500 0.8721 0.8694
Si3 0.7500 0.6279 0.3694
Si4 0.2500 0.3721 0.6306
Ge1 0.2500 0.6946 0.4828
Ge2 0.7500 0.3054 0.5172
Ge3 0.7500 0.1946 0.0172
Ge4 0.2500 0.8054 0.9828
Ge5 0.2500 0.0044 0.3101
Ge6 0.7500 0.9956 0.6899
Ge7 0.7500 0.5044 0.1899
Ge8 0.2500 0.4956 0.8101

Values from the calculation:
- Raw total energy: -6.45 eV/atom
- Volume: 22.97 A^3/atom
- Formation energy (no corrections): -74.4 kJ per mole of atoms
- Space group: Pnma
- Total magnetization: 0.0 μB per cell


Please write out number 4 again, unchanged.
Computed, not measured: a geometry-optimized Y3SiGe2 structure at the PBE level of DFT.

Unit cell a=4.1102 b=11.6072 c=11.5532 alpha=90.00 beta=90.00 gamma=90.00
Positions (direct):
Y1 0.2500 0.3776 0.0593
Y2 0.7500 0.6224 0.9407
Y3 0.7500 0.8776 0.4407
Y4 0.2500 0.1224 0.5593
Y5 0.2500 0.7064 0.2114
Y6 0.7500 0.2936 0.7886
Y7 0.7500 0.2064 0.2886
Y8 0.2500 0.7936 0.7114
Y9 0.2500 0.4444 0.3829
Y10 0.7500 0.5556 0.6171
Y11 0.7500 0.9444 0.1171
Y12 0.2500 0.0556 0.8829
Si1 0.2500 0.1279 0.1306
Si2 0.7500 0.8721 0.8694
Si3 0.7500 0.6279 0.3694
Si4 0.2500 0.3721 0.6306
Ge1 0.2500 0.6946 0.4828
Ge2 0.7500 0.3054 0.5172
Ge3 0.7500 0.1946 0.0172
Ge4 0.2500 0.8054 0.9828
Ge5 0.2500 0.0044 0.3101
Ge6 0.7500 0.9956 0.6899
Ge7 0.7500 0.5044 0.1899
Ge8 0.2500 0.4956 0.8101

Values from the calculation:
- Raw total energy: -6.45 eV/atom
- Volume: 22.97 A^3/atom
- Formation energy (no corrections): -74.4 kJ per mole of atoms
- Space group: Pnma
- Total magnetization: 0.0 μB per cell


Question: Among the records above, which one has the highest formation energy (no corrections)?
Answer: SiGeW3


Copy entry 3 word for word.
Computed, not measured: a geometry-optimized YSi2Ge structure at the PBE level of DFT.

Unit cell a=7.1604 b=7.1604 c=6.0230 alpha=53.53 beta=53.53 gamma=90.00
Positions (direct):
Y1 0.0000 0.0000 0.0000
Y2 0.7500 0.2500 0.5000
Ge1 0.5000 0.5000 0.0000
Ge2 0.2500 0.7500 0.5000
Si1 0.5723 0.1250 0.2500
Si2 0.1777 0.6250 0.2500
Si3 0.3750 0.4277 0.7500
Si4 0.8750 0.8223 0.7500

Values from the calculation:
- Raw total energy: -5.59 eV/atom
- Volume: 20.91 A^3/atom
- Formation energy (no corrections): -10.8 kJ per mole of atoms
- Space group: I-42d
- Total magnetization: 0.0 μB per cell


Question: Which formula does entry 1 have?
Answer: SiGeW3